VASP calculation (GGA-PBE) on crystalline NbCdFe2N at its relaxed geometry.

As for the magnetic moment: 0.001 μB per formula unit. The density of states at the Fermi level is 5.8 states/eV per cell. The value obtained for the energy relative to the elements, uncorrected is 0.2 eV/f.u.

Cell: 3.931 4.177 3.931 Å, 90.00 90.00 90.00°
Fractional positions:
Nb  0.000  0.500  0.000
N  0.000  0.000  0.000
Fe  0.000  0.000  0.500
Fe  0.500  0.000  0.000
Cd  0.500  0.500  0.500